VASP calculation (PBE) on a relaxed structure of HoMnReSi2.

Cell and atoms, written as extended XYZ:
```
5
Lattice="-1.989 1.989 5.223 1.989 -1.989 5.223 1.989 1.989 -5.223" Properties=species:S:1:pos:R:3 pbc="T T T"
Ho 0.000 0.000 0.000
Mn 1.989 0.000 2.611
Re 0.000 1.989 2.611
Si 0.000 0.000 4.006
Si 0.000 0.000 6.439
```

## Properties
**ΔE_f (raw)**: -0.569 eV per atom
**SG**: No. 119

VASP calculation (PBE) on a relaxed structure of Ho2MnRh.

Cell and atoms, written as extended XYZ:
```
4
Lattice="3.454 0.000 0.000 0.000 3.454 0.000 0.000 0.000 6.937" Properties=species:S:1:pos:R:3 pbc="T T T"
Ho 0.000 0.000 1.661
Ho 0.000 0.000 5.276
Mn 1.727 1.727 3.468
Rh 1.727 1.727 0.000
```

## Properties
**SG**: No. 123
**Formation enthalpy at 0 K**: -351 meV/atom

VASP calculation (PBE) on a relaxed structure of Ho3MnRh8.

Cell and atoms, written as extended XYZ:
```
12
Lattice="2.636 1.522 8.627 -2.636 1.522 8.627 0.000 -3.044 8.627" Properties=species:S:1:pos:R:3 pbc="T T T"
Ho 0.000 0.000 0.000
Ho 0.000 0.000 3.328
Ho 0.000 0.000 13.206
Mn 0.000 0.000 16.393
Rh -1.321 -0.763 10.328
Rh 0.000 -1.519 6.060
Rh -1.316 0.760 6.060
Rh 0.000 0.000 8.189
Rh 1.321 -0.763 10.328
Rh 0.000 1.525 10.328
Rh 1.316 0.760 6.060
Rh 0.000 0.000 21.135
```

## Properties
**SG**: No. 160
**Formation enthalpy at 0 K**: -559 meV/atom

VASP calculation (PBE) on a relaxed structure of HoMnSi3Rh.

Cell and atoms, written as extended XYZ:
```
12
Lattice="3.703 -5.394 0.000 3.703 5.394 0.000 0.000 0.000 5.392" Properties=species:S:1:pos:R:3 pbc="T T T"
Ho 3.703 2.825 4.044
Ho 3.703 -2.825 1.348
Mn 3.703 4.899 1.348
Mn 3.703 -4.899 4.044
Si 1.784 0.000 0.000
Si 1.784 0.000 2.696
Si 3.703 2.788 1.348
Si 3.703 -2.788 4.044
Si 5.621 0.000 0.000
Si 5.621 0.000 2.696
Rh 3.703 0.590 1.348
Rh 3.703 -0.590 4.044
```

## Properties
**ΔE_f (raw)**: -0.390 eV per atom
**SG**: No. 63

What did the third record say?
VASP calculation (PBE) on a relaxed structure of Ho3MnRh8.

Cell and atoms, written as extended XYZ:
```
12
Lattice="2.636 1.522 8.627 -2.636 1.522 8.627 0.000 -3.044 8.627" Properties=species:S:1:pos:R:3 pbc="T T T"
Ho 0.000 0.000 0.000
Ho 0.000 0.000 3.328
Ho 0.000 0.000 13.206
Mn 0.000 0.000 16.393
Rh -1.321 -0.763 10.328
Rh 0.000 -1.519 6.060
Rh -1.316 0.760 6.060
Rh 0.000 0.000 8.189
Rh 1.321 -0.763 10.328
Rh 0.000 1.525 10.328
Rh 1.316 0.760 6.060
Rh 0.000 0.000 21.135
```

## Properties
**SG**: No. 160
**Formation enthalpy at 0 K**: -559 meV/atom

Copy entry 2 word for word.
VASP calculation (PBE) on a relaxed structure of Ho2MnRh.

Cell and atoms, written as extended XYZ:
```
4
Lattice="3.454 0.000 0.000 0.000 3.454 0.000 0.000 0.000 6.937" Properties=species:S:1:pos:R:3 pbc="T T T"
Ho 0.000 0.000 1.661
Ho 0.000 0.000 5.276
Mn 1.727 1.727 3.468
Rh 1.727 1.727 0.000
```

## Properties
**SG**: No. 123
**Formation enthalpy at 0 K**: -351 meV/atom